[1]
Er2Ni3Ru | PBE-GGA | relaxed

Unit cell a=5.043 b=5.043 c=5.186 alpha=119.05 beta=119.05 gamma=59.89
Positions (direct):
1 Er 0.124 0.124 0.372
2 Er 0.876 0.876 0.628
3 Ni 0.000 0.500 0.000
4 Ni 0.500 0.000 0.000
5 Ni 0.500 0.500 0.000
6 Ru 0.500 0.500 0.500

Results
Density of states at the Fermi level: 5.522 states/eV/cell
Space group: C2/m
ΔH_f (0 K): -433 meV/atom

[2]
Er12Ni6Ru | PBE-GGA | relaxed

Unit cell a=7.929 b=7.929 c=7.929 alpha=99.41 beta=99.41 gamma=99.41
Positions (direct):
1 Er 0.047 0.908 0.677
2 Er 0.092 0.323 0.953
3 Er 0.180 0.574 0.411
4 Er 0.323 0.953 0.092
5 Er 0.411 0.180 0.574
6 Er 0.426 0.589 0.820
7 Er 0.574 0.411 0.180
8 Er 0.589 0.820 0.426
9 Er 0.677 0.047 0.908
10 Er 0.820 0.426 0.589
11 Er 0.908 0.677 0.047
12 Er 0.953 0.092 0.323
13 Ni 0.135 0.320 0.618
14 Ni 0.320 0.618 0.135
15 Ni 0.382 0.865 0.680
16 Ni 0.618 0.135 0.320
17 Ni 0.680 0.382 0.865
18 Ni 0.865 0.680 0.382
19 Ru 0.000 0.000 0.000

Results
Density of states at the Fermi level: 16.109 states/eV/cell
Space group: R-3
ΔH_f (0 K): -227 meV/atom

[3]
ErNiRu | PBE-GGA | relaxed

Unit cell a=5.225 b=5.225 c=5.225 alpha=121.42 beta=121.37 gamma=87.60
Positions (direct):
1 Er 0.373 0.123 0.250
2 Er 0.627 0.877 0.750
3 Ni 0.000 0.500 0.500
4 Ni 0.500 0.500 0.000
5 Ru 0.000 0.000 0.500
6 Ru 0.000 0.500 0.000

Results
Density of states at the Fermi level: 5.105 states/eV/cell
Space group: Imma
ΔH_f (0 K): -418 meV/atom

[4]
Er6NiRu | PBE-GGA | relaxed

Unit cell a=7.341 b=7.341 c=7.341 alpha=51.80 beta=51.80 gamma=51.80
Positions (direct):
1 Er 0.079 0.424 0.747
2 Er 0.253 0.921 0.576
3 Er 0.424 0.747 0.079
4 Er 0.576 0.253 0.921
5 Er 0.747 0.079 0.424
6 Er 0.921 0.576 0.253
7 Ni 0.500 0.500 0.500
8 Ru 0.000 0.000 0.000

Results
Density of states at the Fermi level: 7.614 states/eV/cell
Space group: R-3
ΔH_f (0 K): -188 meV/atom

[5]
Er8Ni2Ru | PBE-GGA | relaxed

Unit cell a=7.446 b=7.446 c=5.750 alpha=99.91 beta=99.91 gamma=114.44
Positions (direct):
1 Er 0.000 0.000 0.000
2 Er 0.024 0.279 0.572
3 Er 0.142 0.572 0.173
4 Er 0.279 0.024 0.572
5 Er 0.439 0.693 0.762
6 Er 0.572 0.142 0.173
7 Er 0.693 0.439 0.762
8 Er 0.720 0.720 0.352
9 Ni 0.055 0.665 0.675
10 Ni 0.665 0.055 0.675
11 Ru 0.360 0.360 0.287

Results
Density of states at the Fermi level: 11.098 states/eV/cell
Space group: Cm
ΔH_f (0 K): -184 meV/atom

[6]
Er4NiRu2 | PBE-GGA | relaxed

Unit cell a=8.229 b=8.229 c=8.229 alpha=33.48 beta=33.48 gamma=33.48
Positions (direct):
1 Er 0.124 0.124 0.124
2 Er 0.374 0.374 0.374
3 Er 0.626 0.626 0.626
4 Er 0.876 0.876 0.876
5 Ni 0.500 0.500 0.500
6 Ru 0.248 0.248 0.248
7 Ru 0.752 0.752 0.752

Results
Density of states at the Fermi level: 3.801 states/eV/cell
Space group: R-3m
ΔH_f (0 K): -391 meV/atom